[1]
Density functional theory data (GGA-PBE) for an optimized crystal structure of MgTc5.

Energy of formation, meV per atom: 194
Symmetry: R32 (155)
V, A^3/atom: 14.875
Excess energy over the best structure of this formula in the dataset, eV/atom: 0.115

abc: 5.333 5.333 5.333
angles: 52.84 52.84 52.84
Fractional coordinates of all 6 atoms:
Mg (0.000, 0.000, 0.000)
Tc (0.167, 0.500, 0.833)
Tc (0.339, 0.339, 0.339)
Tc (0.500, 0.833, 0.167)
Tc (0.661, 0.661, 0.661)
Tc (0.833, 0.167, 0.500)

***

[2]
Density functional theory data (GGA-PBE) for an optimized crystal structure of MgTc5.

Energy of formation, meV per atom: 128
Symmetry: Cm (8)
V, A^3/atom: 14.961
Excess energy over the best structure of this formula in the dataset, eV/atom: 0.049

abc: 5.197 5.197 6.459
angles: 106.73 106.73 32.64
Fractional coordinates of all 6 atoms:
Mg (0.000, 0.000, 0.000)
Tc (0.045, 0.045, 0.560)
Tc (0.333, 0.333, 0.656)
Tc (0.356, 0.356, 0.234)
Tc (0.671, 0.671, 0.334)
Tc (0.702, 0.702, 0.888)

***

[3]
Density functional theory data (GGA-PBE) for an optimized crystal structure of Mg3Tc4.

Energy of formation, meV per atom: -19
Symmetry: I4/mmm (139)
V, A^3/atom: 16.424
Excess energy over the best structure of this formula in the dataset, eV/atom: 0.000

abc: 12.432 12.432 12.432
angles: 165.84 165.84 20.08
Fractional coordinates of all 7 atoms:
Mg (0.000, 0.000, 0.000)
Mg (0.296, 0.296, 0.000)
Mg (0.704, 0.704, 0.000)
Tc (0.130, 0.130, 0.000)
Tc (0.426, 0.426, 0.000)
Tc (0.574, 0.574, 0.000)
Tc (0.870, 0.870, 0.000)

***

- V of number 1 (MgTc5)?
  14.875 A^3/atom

***

- Which of these has the highest excess energy over the best structure of this formula in the dataset?
  number 1

***

Repeat the first record exactly.
Density functional theory data (GGA-PBE) for an optimized crystal structure of MgTc5.

Energy of formation, meV per atom: 194
Symmetry: R32 (155)
V, A^3/atom: 14.875
Excess energy over the best structure of this formula in the dataset, eV/atom: 0.115

abc: 5.333 5.333 5.333
angles: 52.84 52.84 52.84
Fractional coordinates of all 6 atoms:
Mg (0.000, 0.000, 0.000)
Tc (0.167, 0.500, 0.833)
Tc (0.339, 0.339, 0.339)
Tc (0.500, 0.833, 0.167)
Tc (0.661, 0.661, 0.661)
Tc (0.833, 0.167, 0.500)